Entry 1:
Entry from Alexandria: a relaxed structure of DyScNi2 (PBE).

Cell and atoms, written as POSCAR:
```
DyScNi2
1.0
-1.055 2.684 -3.632
-3.310 -1.314 -2.971
-4.046 2.263 -0.112
Dy Sc Ni
1 1 2
Cartesian
0.000 0.000 0.000 Dy
-4.206 1.817 -3.357 Sc
-6.309 2.725 -5.036 Ni
-2.103 0.908 -1.679 Ni
```

Computed properties:
energy of formation = -417 meV per atom
symmetry = Fm-3m, No. 225

=====

Entry 2:
Entry from Alexandria: a relaxed structure of DyScNi (PBE).

Cell and atoms, written as POSCAR:
```
DyScNi
1.0
5.614 0.060 -0.355
-2.383 5.084 0.355
-2.877 -1.779 4.499
Ni Sc Dy
2 2 2
Cartesian
-1.484 4.519 1.192 Ni
1.839 -1.155 3.306 Ni
-1.439 -0.890 2.249 Sc
0.177 1.682 2.249 Sc
-2.591 1.628 4.059 Dy
2.946 1.736 0.440 Dy
```

Computed properties:
energy of formation = -24 meV per atom
symmetry = Imma, No. 74

=====

Entry 3:
Entry from Alexandria: a relaxed structure of Dy3Sc3Ni4 (PBE).

Cell and atoms, written as POSCAR:
```
Dy3Sc3Ni4
1.0
3.711 0.000 0.000
0.000 7.311 -0.058
0.000 0.006 7.312
Sc Dy Ni
3 3 4
Cartesian
1.856 2.523 2.459 Sc
1.856 6.103 1.161 Sc
1.856 4.836 4.752 Sc
1.856 1.141 6.167 Dy
0.000 3.696 -0.027 Dy
0.000 7.311 3.557 Dy
0.000 6.315 6.366 Ni
0.000 4.607 2.670 Ni
0.000 0.896 0.995 Ni
0.000 2.811 4.482 Ni
```

Computed properties:
energy of formation = -324 meV per atom
symmetry = Amm2, No. 38

=====

Entry 4:
Entry from Alexandria: a relaxed structure of DyScNi10 (PBE).

Cell and atoms, written as POSCAR:
```
DyScNi10
1.0
3.965 0.000 0.000
0.000 4.808 0.000
0.000 0.000 8.328
Ni Dy Sc
10 1 1
Cartesian
1.983 3.601 2.110 Ni
1.983 0.000 4.164 Ni
0.000 0.000 2.828 Ni
1.983 3.601 6.218 Ni
1.983 1.207 6.218 Ni
1.983 1.207 2.110 Ni
0.000 0.000 5.500 Ni
0.000 2.404 1.455 Ni
1.983 2.404 0.000 Ni
0.000 2.404 6.873 Ni
0.000 0.000 0.000 Dy
0.000 2.404 4.164 Sc
```

Computed properties:
energy of formation = -305 meV per atom
symmetry = Pmmm, No. 47

=====

Q: energy of formation of number 2 (DyScNi)?
A: -24 meV per atom

=====

Q: What is the formula in the fourth record?
A: DyScNi10

=====

Q: Which of these has the lowest energy of formation?
A: DyScNi2